The following is a DFT calculation (PBE) of a relaxed HfCoSi2 crystal.

Unit cell a=6.162 b=6.162 c=6.162 alpha=90.00 beta=90.00 gamma=90.00
Space group F-43m (No. 216)
Unique sites:
Hf1 0.000 0.000 0.000 [4 per cell]
Co1 0.250 0.250 0.750 [4 per cell]
Si1 0.000 0.000 0.500 [4 per cell]
Si2 0.250 0.250 0.250 [4 per cell]

Calculated values
Uncorrected energy = -7.041 eV/atom

---

The following is a DFT calculation (PBE) of a relaxed RbPrPO crystal.

Unit cell a=4.242 b=4.242 c=10.883 alpha=90.00 beta=90.00 gamma=90.00
Space group P4/nmm (No. 129, origin choice 2)
Unique sites:
Rb1 0.250 0.750 0.000 [2 per cell]
Pr1 0.250 0.250 0.399 [2 per cell]
P1 0.250 0.250 0.771 [2 per cell]
O1 0.250 0.750 0.500 [2 per cell]

Calculated values
Uncorrected energy = -5.277 eV/atom

---

The following is a DFT calculation (PBE) of a relaxed MgZnTeO crystal.

Unit cell a=3.663 b=13.387 c=5.788 alpha=90.00 beta=90.00 gamma=90.00
Space group Cmcm (No. 63)
Unique sites:
Mg1 0.000 0.098 0.250 [4 per cell]
Zn1 0.000 0.428 0.250 [4 per cell]
Te1 0.000 0.233 0.750 [4 per cell]
O1 0.000 0.000 0.000 [4 per cell]

Calculated values
Uncorrected energy = -3.483 eV/atom

---

The following is a DFT calculation (PBE) of a relaxed Rb2GdNbO4 crystal.

Unit cell a=3.3796 b=3.3796 c=12.8289 alpha=90.00 beta=90.00 gamma=120.00
Space group P-3m1 (No. 164)
Unique sites:
Rb1 0.3333 0.6667 0.2423 [2 per cell]
Gd1 0.0000 0.0000 0.5000 [1 per cell]
Nb1 0.0000 0.0000 0.0000 [1 per cell]
O1 0.3333 0.6667 0.5947 [2 per cell]
O2 0.3333 0.6667 0.9171 [2 per cell]

Calculated values
Uncorrected energy = -6.688 eV/atom

---

The following is a DFT calculation (PBE) of a relaxed BeZnInCu crystal.

Unit cell a=6.167 b=6.167 c=6.167 alpha=90.00 beta=90.00 gamma=90.00
Space group F-43m (No. 216)
Unique sites:
Be1 0.000 0.000 0.000 [4 per cell]
Zn1 0.000 0.000 0.500 [4 per cell]
In1 0.250 0.250 0.750 [4 per cell]
Cu1 0.250 0.250 0.250 [4 per cell]

Calculated values
Uncorrected energy = -2.510 eV/atom

---

The following is a DFT calculation (PBE) of a relaxed ZrFeCoSi crystal.

Unit cell a=6.083 b=6.083 c=6.083 alpha=90.00 beta=90.00 gamma=90.00
Space group F-43m (No. 216)
Unique sites:
Zr1 0.000 0.000 0.000 [4 per cell]
Fe1 0.000 0.000 0.500 [4 per cell]
Co1 0.250 0.250 0.750 [4 per cell]
Si1 0.250 0.250 0.250 [4 per cell]

Calculated values
Uncorrected energy = -7.504 eV/atom

---

Question: uncorrected energy of number 2 (RbPrPO)?
Answer: -5.277 eV/atom

---

Question: Which value of uncorrected energy does entry 4 give?
Answer: -6.688 eV/atom